[1]
Here is a relaxed structure of SiBRhAuCS from Alexandria via LeMat-Bulk. Energies are from GGA-PBE.

Summary:
DFT total energy in eV/atom: -5.652
ΔE_f (raw) in eV per atom: 0.362
DOS(E_F) in states/eV/cell: 3.9
Spin magnetization in μB per formula unit: 0.0
Crystal system: monoclinic
ΔE to the lowest computed polymorph in meV per atom: 182.7

Cell and atoms, written as extended XYZ:
```
12
Lattice="10.896 0.000 0.000 0.000 2.809 0.000 -2.017 0.000 5.531" Properties=species:S:1:pos:R:3 pbc="T T T"
Si 0.000 0.000 0.000
Si 5.448 1.404 0.000
B 0.338 0.000 2.655
B 5.786 1.404 2.655
Rh 4.570 0.000 1.777
Rh 10.018 1.404 1.777
Au -0.073 1.404 4.671
Au 5.375 0.000 4.671
C 2.166 1.404 4.090
C 7.614 0.000 4.090
S 2.279 0.000 2.940
S 7.727 1.404 2.940
```



[2]
Here is a relaxed structure of K2SnOsSe from Alexandria via LeMat-Bulk. Energies are from GGA-PBE.

Summary:
DFT total energy in eV/atom: -3.524
ΔE_f (raw) in eV per atom: 0.658
DOS(E_F) in states/eV/cell: 6.3
Spin magnetization in μB per formula unit: 1.8
Crystal system: tetragonal
ΔE to the lowest computed polymorph in meV per atom: 0.0

Cell and atoms, written as extended XYZ:
```
5
Lattice="6.037 0.000 0.000 0.000 6.037 0.000 0.000 0.000 5.072" Properties=species:S:1:pos:R:3 pbc="T T T"
K 0.000 3.019 0.000
K 3.019 0.000 0.000
Sn 0.000 0.000 2.536
Os 0.000 0.000 0.000
Se 3.019 3.019 2.536
```



[3]
Here is a relaxed structure of Be2FeRh from Alexandria via LeMat-Bulk. Energies are from GGA-PBE.

Summary:
DFT total energy in eV/atom: -5.751
Energy relative to the elements in eV per atom: 0.065
DOS(E_F) in states/eV/cell: 5.3
Spin magnetization in μB per formula unit: 2.8
Crystal system: trigonal

Cell and atoms, written as extended XYZ:
```
12
Lattice="2.598 0.000 0.000 -1.299 2.250 0.000 0.000 0.000 23.162" Properties=species:S:1:pos:R:3 pbc="T T T"
Be 0.000 0.000 0.000
Be 0.000 0.000 5.819
Be 0.000 1.500 15.442
Be 0.000 1.500 21.261
Be 1.299 0.750 7.721
Be 1.299 0.750 13.540
Fe 0.000 0.000 11.716
Fe 0.000 1.500 3.995
Fe 1.299 0.750 19.437
Rh 0.000 0.000 17.269
Rh 0.000 1.500 9.548
Rh 1.299 0.750 1.828
```



[4]
Here is a relaxed structure of K2BaIn6 from Alexandria via LeMat-Bulk. Energies are from GGA-PBE.

Summary:
DFT total energy in eV/atom: -2.397
Energy relative to the elements in eV per atom: -0.114
DOS(E_F) in states/eV/cell: 3.9
Spin magnetization in μB per formula unit: 0.0
Crystal system: orthorhombic

Cell and atoms, written as extended XYZ:
```
9
Lattice="-2.030 4.598 7.967 2.030 -4.598 7.967 2.030 4.598 -7.967" Properties=species:S:1:pos:R:3 pbc="T T T"
K 0.000 0.000 2.279
K 0.000 0.000 13.655
Ba 0.000 4.598 0.000
In 2.030 2.964 -2.812
In 2.030 1.586 0.000
In 2.030 2.964 2.812
In 0.000 1.634 5.155
In 0.000 3.013 7.967
In 0.000 1.634 10.779
```